# K3DyHo2O6 PBE optimized geometry
data_K3DyHo2O6
_chemical_formula_sum 'K3 Dy1 Ho2 O6'
_space_group_name_H-M_alt 'P 1'
_space_group_IT_number 1
_cell_length_a 6.012
_cell_length_b 6.012
_cell_length_c 6.570
_cell_angle_alpha 98.77
_cell_angle_beta 98.77
_cell_angle_gamma 120.00
loop_
_space_group_symop_operation_xyz
'x,y,z'
loop_
_atom_site_label
_atom_site_type_symbol
_atom_site_fract_x
_atom_site_fract_y
_atom_site_fract_z
O1 O 0.062 0.396 0.185
O2 O 0.727 0.727 0.185
O3 O 0.273 0.273 0.815
O4 O 0.938 0.604 0.815
O5 O 0.396 0.062 0.185
O6 O 0.604 0.938 0.815
Dy1 Dy 0.000 0.000 0.000
K1 K 0.167 0.833 0.500
K2 K 0.500 0.500 0.500
K3 K 0.833 0.167 0.500
Ho1 Ho 0.667 0.333 0.000
Ho2 Ho 0.333 0.667 0.000
# Calculated volume ... 196 Å³/f.u.
# E_form (uncorrected) ... -2.7775 eV per atom